## one
VASP calculation (PBE) on crystalline Cs2KBaTe at its relaxed geometry.

Lattice parameters (Å, degrees): 7.5441 7.5441 7.4279 90.00 90.00 90.00
Atoms (fractional coordinates):
Cs 0.0000 0.5000 0.0000
Cs 0.5000 0.0000 0.0000
K 0.0000 0.0000 0.5000
Ba 0.0000 0.0000 0.0000
Te 0.5000 0.5000 0.5000

Summary:
DOS at the Fermi energy   6.9 states/eV/cell



## two
VASP calculation (PBE) on crystalline Cs2KBaTe at its relaxed geometry.

Lattice parameters (Å, degrees): 7.6021 7.6021 6.7611 90.00 90.00 90.00
Atoms (fractional coordinates):
Cs 0.0000 0.5000 0.0000
Cs 0.5000 0.0000 0.0000
K 0.0000 0.0000 0.5000
Ba 0.5000 0.5000 0.5000
Te 0.5000 0.5000 0.0000

Summary:
DOS at the Fermi energy   3.2 states/eV/cell



Q: What are the energies relative to the best structure? A: one 91.7; two 0.0, in kJ/mol of atoms.